Entry from Alexandria via LeMat-Bulk: a relaxed RbCrNi2Br crystal (PBE).

- Fermi-level density of states: 3.3 states/eV per cell
- Raw formation energy: 1.72 eV per atom

POSCAR file:
```
RbCrNi2Br
1.0
-0.199 -4.670 0.784
5.983 -0.324 -0.416
0.365 0.767 4.662
Cr Rb Ni Br
1 1 2 1
Direct
0.500 0.500 0.500 Cr
0.000 0.000 0.000 Rb
0.500 0.000 0.000 Ni
0.000 0.000 0.500 Ni
0.000 0.500 0.000 Br
```